DFT (GGA-PBE) results for a relaxed structure of DyHo6Tm2.

## Properties
- Energy of formation from the pure elements: 1.7 kcal/mol of atoms
- Offset from the most stable computed form: 0.0 kJ per mole of atoms
- Space-group type: C2/c, No. 15

abc: 10.8450 9.3990 9.3990
angles: 75.84 50.76 50.76
With the nearest neighbours (Å) after each atom.
Sites, in units of the cell vectors:
Dy (0.2500, 0.3338, 0.6662)  4 Tm 3.44-3.50, 8 Ho 3.45-3.84
Dy (0.7500, 0.6662, 0.3338)  4 Tm 3.44-3.50, 8 Ho 3.45-3.84
Ho (0.6009, 0.3965, 0.5959)  6 Ho 3.12-3.48
Ho (0.8991, 0.4041, 0.6035)  6 Ho 3.12-3.48
Ho (0.3991, 0.6035, 0.4041)  6 Ho 3.12-3.48
Ho (0.1009, 0.5959, 0.3965)  6 Ho 3.12-3.48
Ho (0.7811, 0.0166, 0.3345)  4 Tm 3.39-3.56, 2 Dy 3.45-3.52, 5 Ho 3.46-3.72
Ho (0.7189, 0.6655, 0.9834)  4 Tm 3.39-3.56, 2 Dy 3.45-3.52, 5 Ho 3.46-3.72
Ho (0.2189, 0.9834, 0.6655)  4 Tm 3.39-3.56, 2 Dy 3.45-3.52, 5 Ho 3.46-3.72
Ho (0.2811, 0.3345, 0.0166)  4 Tm 3.39-3.56, 2 Dy 3.45-3.52, 5 Ho 3.46-3.72
Ho (0.3220, 0.7074, 0.9841)  2 Tm 3.25-3.43, 5 Ho 3.33-3.52
Ho (0.1780, 0.0159, 0.2926)  2 Tm 3.25-3.43, 5 Ho 3.33-3.52
Ho (0.6780, 0.2926, 0.0159)  2 Tm 3.25-3.43, 5 Ho 3.33-3.52
Ho (0.8220, 0.9841, 0.7074)  2 Tm 3.25-3.43, 5 Ho 3.33-3.52
Tm (0.0231, 0.7578, 0.9144)  7 Ho 3.25-3.59, 2 Dy 3.44-3.50, 1 Tm 3.54
Tm (0.4769, 0.0856, 0.2422)  7 Ho 3.25-3.59, 2 Dy 3.44-3.50, 1 Tm 3.54
Tm (0.9769, 0.2422, 0.0856)  7 Ho 3.25-3.59, 2 Dy 3.44-3.50, 1 Tm 3.54
Tm (0.5231, 0.9144, 0.7578)  7 Ho 3.25-3.59, 2 Dy 3.44-3.50, 1 Tm 3.54


DFT (GGA-PBE) results for a relaxed structure of LiZr2Br.

## Properties
- Offset from the most stable computed form: 33.6 kJ per mole of atoms
- Space-group type: P2/m, No. 10
- Raw formation energy: -0.02 eV per atom

abc: 5.2276 3.1633 5.3922
angles: 95.70 90.00 90.00
With the nearest neighbours (Å) after each atom.
Sites, in units of the cell vectors:
Br (0.5000, 0.2500, 0.2500)  4 Li 2.99-3.26, 4 Zr 3.03, 2 Br 3.16
Li (0.5000, 0.7500, 0.7500)  4 Br 2.99-3.26, 4 Zr 3.02, 2 Li 3.16
Zr (0.0000, 0.0699, 0.9772)  3 Zr 2.80-3.05, 2 Li 3.02, 2 Br 3.03
Zr (0.0000, 0.4301, 0.5228)  3 Zr 2.80-3.05, 2 Li 3.02, 2 Br 3.03


DFT (GGA-PBE) results for a relaxed structure of Ti2TlI8.

## Properties
- Space-group type: C2/m, No. 12
- Raw formation energy: -0.70 eV per atom

abc: 7.5799 9.3507 9.3507
angles: 74.31 83.21 83.21
With the nearest neighbours (Å) after each atom.
Sites, in units of the cell vectors:
Ti (0.3512, 0.2069, 0.2069)  4 I 2.57-2.61
Ti (0.6488, 0.7931, 0.7931)  4 I 2.57-2.61
Tl (0.0000, 0.0000, 0.0000)  6 I 3.52-3.55
I (0.7463, 0.0634, 0.6936)  1 Ti 2.61
I (0.2537, 0.3064, 0.9366)  1 Ti 2.61
I (0.6949, 0.2051, 0.2051)  1 Ti 2.60
I (0.3051, 0.7949, 0.7949)  1 Ti 2.60
I (0.7463, 0.6936, 0.0634)  1 Ti 2.61
I (0.2537, 0.9366, 0.3064)  1 Ti 2.61
I (0.1960, 0.3727, 0.3727)  1 Ti 2.57
I (0.8040, 0.6273, 0.6273)  1 Ti 2.57


DFT (GGA-PBE) results for a relaxed structure of HfZr3Ru.

## Properties
- Energy of formation from the pure elements: 9.0 kcal/mol of atoms
- Offset from the most stable computed form: 41.9 kJ per mole of atoms
- Space-group type: Pm-3m, No. 221

abc: 4.9922 4.9922 4.9922
angles: 90.00 90.00 90.00
With the nearest neighbours (Å) after each atom.
Sites, in units of the cell vectors:
Ru (0.0000, 0.0000, 0.0000)  6 Zr 2.50
Hf (0.5000, 0.5000, 0.5000)  12 Zr 3.53
Zr (0.0000, 0.5000, 0.0000)  2 Ru 2.50
Zr (0.0000, 0.0000, 0.5000)  2 Ru 2.50
Zr (0.5000, 0.0000, 0.0000)  2 Ru 2.50


DFT (GGA-PBE) results for a relaxed structure of Te2Cl.

## Properties
- Offset from the most stable computed form: 21.8 kJ per mole of atoms
- Space-group type: P6/mmm, No. 191
- Raw formation energy: -0.02 eV per atom

abc: 5.3296 5.3296 3.2352
angles: 90.00 90.00 120.00
With the nearest neighbours (Å) after each atom.
Sites, in units of the cell vectors:
Cl (0.0000, 0.0000, 0.0000)  2 Cl 3.24, 12 Te 3.47-3.48
Te (0.3333, 0.6667, 0.4990)  5 Te 3.08-3.24
Te (0.6667, 0.3333, 0.5010)  5 Te 3.08-3.24


DFT (GGA-PBE) results for a relaxed structure of Ag3SeCl.

## Properties
- Offset from the most stable computed form: 0.0 kJ per mole of atoms
- Space-group type: P2_1/c, No. 14
- Raw formation energy: -0.22 eV per atom

abc: 5.5015 8.3429 11.1153
angles: 97.97 90.00 90.00
With the nearest neighbours (Å) after each atom.
Sites, in units of the cell vectors:
Ag (0.9169, 0.9524, 0.2610)  2 Se 2.61-2.65, 2 Ag 2.88
Ag (0.0831, 0.0476, 0.7390)  2 Se 2.61-2.65, 2 Ag 2.88
Ag (0.4169, 0.0476, 0.2390)  2 Se 2.61-2.65, 2 Ag 2.88
Ag (0.5831, 0.9524, 0.7610)  2 Se 2.61-2.65, 2 Ag 2.88
Ag (0.3150, 0.1224, 0.9810)  1 Cl 2.67, 3 Se 2.79-2.86, 2 Ag 2.95-2.96
Ag (0.6850, 0.8776, 0.0190)  1 Cl 2.67, 3 Se 2.79-2.86, 2 Ag 2.95-2.96
Ag (0.8150, 0.8776, 0.5190)  1 Cl 2.67, 3 Se 2.79-2.86, 2 Ag 2.95-2.96
Ag (0.1850, 0.1224, 0.4810)  1 Cl 2.67, 3 Se 2.79-2.86, 2 Ag 2.95-2.96
Ag (0.4750, 0.6867, 0.2025)  2 Cl 2.49-2.75, 1 Se 2.58
Ag (0.5250, 0.3133, 0.7975)  2 Cl 2.49-2.75, 1 Se 2.58
Ag (0.9750, 0.3133, 0.2975)  2 Cl 2.49-2.75, 1 Se 2.58
Ag (0.0250, 0.6867, 0.7025)  2 Cl 2.49-2.75, 1 Se 2.58
Se (0.8121, 0.1592, 0.9246)  6 Ag 2.58-2.86
Se (0.1879, 0.8408, 0.0754)  6 Ag 2.58-2.86
Se (0.3121, 0.8408, 0.5754)  6 Ag 2.58-2.86
Se (0.6879, 0.1592, 0.4246)  6 Ag 2.58-2.86
Cl (0.2985, 0.3764, 0.1552)  3 Ag 2.49-2.75
Cl (0.7015, 0.6236, 0.8448)  3 Ag 2.49-2.75
Cl (0.7985, 0.6236, 0.3448)  3 Ag 2.49-2.75
Cl (0.2015, 0.3764, 0.6552)  3 Ag 2.49-2.75


DFT (GGA-PBE) results for a relaxed structure of EuZnAu2.

## Properties
- Energy of formation from the pure elements: -9.3 kcal/mol of atoms
- Space-group type: P4/mmm, No. 123

abc: 4.0056 4.7004 4.7004
angles: 90.00 90.00 90.00
With the nearest neighbours (Å) after each atom.
Sites, in units of the cell vectors:
Eu (0.5000, 0.0000, 0.0000)  8 Au 3.09, 4 Zn 3.32
Zn (0.5000, 0.5000, 0.5000)  8 Au 3.09, 4 Eu 3.32
Au (0.0000, 0.0000, 0.5000)  4 Zn 3.09, 4 Eu 3.09, 4 Au 3.32
Au (0.0000, 0.5000, 0.0000)  4 Zn 3.09, 4 Eu 3.09, 4 Au 3.32


DFT (GGA-PBE) results for a relaxed structure of Er5MgTl6.

## Properties
- Energy of formation from the pure elements: -6.3 kcal/mol of atoms
- Space-group type: C2/m, No. 12

abc: 5.2242 9.1988 9.1987
angles: 119.59 106.53 106.53
With the nearest neighbours (Å) after each atom.
Sites, in units of the cell vectors:
Mg (0.0000, 0.0000, 0.0000)  8 Tl 3.24-3.25, 4 Er 3.62
Tl (0.2490, 0.0843, 0.4150)  7 Er 3.23-3.40, 1 Mg 3.25
Tl (0.7510, 0.5850, 0.9157)  7 Er 3.23-3.40, 1 Mg 3.25
Tl (0.7525, 0.2521, 0.2521)  6 Er 3.16-3.30, 2 Mg 3.24-3.25
Tl (0.2475, 0.7479, 0.7479)  6 Er 3.16-3.30, 2 Mg 3.24-3.25
Tl (0.2490, 0.4150, 0.0843)  7 Er 3.23-3.40, 1 Mg 3.25
Tl (0.7510, 0.9157, 0.5850)  7 Er 3.23-3.40, 1 Mg 3.25
Er (0.5000, 0.1578, 0.8422)  8 Tl 3.16-3.40
Er (0.0000, 0.3303, 0.6697)  8 Tl 3.24-3.30
Er (0.5000, 0.5000, 0.5000)  8 Tl 3.22-3.25
Er (0.0000, 0.6697, 0.3303)  8 Tl 3.24-3.30
Er (0.5000, 0.8422, 0.1578)  8 Tl 3.16-3.40